Record 1
Ac4LaPr2 | PBE | relaxed

Cell and atoms, written as POSCAR:
```
Ac4LaPr2
1.0
3.902 0.000 0.000
1.951 3.379 0.000
1.951 1.126 21.993
Ac Pr La
4 2 1
direct
0.142 0.142 0.575
0.286 0.286 0.143
0.714 0.714 0.857
0.858 0.858 0.425
0.572 0.572 0.283
0.428 0.428 0.717
0.000 0.000 0.000
```

Computed properties:
- Formation energy: 2.22 kJ/mol of atoms
- Symmetry: No. 166
- Calculated total energy: -4.39 eV per atom

Record 2
TlBi2Pb4 | PBE | relaxed

Cell and atoms, written as POSCAR:
```
TlBi2Pb4
1.0
5.816 0.000 -1.757
-0.531 5.792 -1.757
-0.801 -0.877 7.853
Bi Pb Tl
2 4 1
direct
0.643 0.643 0.286
0.357 0.357 0.714
0.000 0.500 0.000
0.750 0.250 0.500
0.250 0.750 0.500
0.500 0.000 0.000
0.000 0.000 0.000
```

Computed properties:
- Formation energy: 11.26 kJ/mol of atoms
- Symmetry: No. 139
- Calculated total energy: -3.45 eV per atom

Record 3
Li2ReW | PBE | relaxed

Cell and atoms, written as POSCAR:
```
Li2ReW
1.0
-0.230 -1.712 2.048
-0.610 -1.202 -2.316
9.065 -2.514 -1.084
Re W Li
1 1 2
direct
0.000 0.000 0.505
0.500 0.500 0.739
0.000 0.000 0.990
0.500 0.500 0.266
```

Computed properties:
- Formation energy: 22.35 kJ/mol of atoms
- Symmetry: No. 35
- Calculated total energy: -7.08 eV per atom